# 1
Computed, not measured: a relaxed CdFeIr2 crystal at the PBE level of DFT.

Summary:
E ... -25.99 eV per cell
E_form ... 0.28 eV/atom

a = 3.7904 Å, b = 4.0289 Å, c = 4.0289 Å
α = 90.00°, β = 90.00°, γ = 90.00°
With the nearest neighbours (Å) after each atom.
Fractional coordinates of all 4 atoms:
Cd  0.5000  0.5000  0.0000  8 Ir 2.77, 4 Fe 2.85
Fe  0.5000  0.0000  0.5000  8 Ir 2.77, 4 Cd 2.85
Ir  0.0000  0.0000  0.0000  4 Cd 2.77, 4 Fe 2.77, 4 Ir 2.85
Ir  0.0000  0.5000  0.5000  4 Cd 2.77, 4 Fe 2.77, 4 Ir 2.85



# 2
Computed, not measured: a relaxed NbGeSb2Au crystal at the PBE level of DFT.

Summary:
E ... -21.18 eV per cell
Uncorrected formation energy ... 1007 meV per atom

a = 5.4273 Å, b = 4.7547 Å, c = 5.4273 Å
α = 90.00°, β = 90.00°, γ = 90.00°
With the nearest neighbours (Å) after each atom.
Fractional coordinates of all 5 atoms:
Sb  0.0000  0.0000  0.5000  2 Au 2.71
Sb  0.5000  0.0000  0.0000  2 Au 2.71
Nb  0.5000  0.5000  0.5000  8 Sb 3.61, 4 Ge 3.84
Au  0.0000  0.0000  0.0000  2 Ge 2.38
Ge  0.0000  0.5000  0.0000  2 Au 2.38



# 3
Computed, not measured: a relaxed Ac2ZrCd crystal at the PBE level of DFT.

Summary:
E ... -15.94 eV per cell
E_form ... 0.44 eV/atom

a = 3.5681 Å, b = 3.5681 Å, c = 12.4342 Å
α = 81.75°, β = 81.75°, γ = 60.00°
With the nearest neighbours (Å) after each atom.
Fractional coordinates of all 4 atoms:
Ac  0.0883  0.0883  0.7352  1 Zr 3.25, 3 Cd 3.54, 6 Ac 3.57
Ac  0.9117  0.9117  0.2648  1 Zr 3.25, 3 Cd 3.54, 6 Ac 3.57
Zr  0.0000  0.0000  0.0000  2 Ac 3.25, 6 Zr 3.57
Cd  0.5000  0.5000  0.5000  6 Ac 3.54, 6 Cd 3.57